Record 1
Density functional theory data (PBE-GGA) for a geometry-optimized InTcP2O structure.

Values from the calculation:
The value obtained for the polymorph energy (0 for the lowest one) is 1203 meV per atom. Its formation energy from raw total energies is 5.3 eV/f.u. The value obtained for the mass density is 4.563 Mg/m³. Its total energy is -4.713 eV/atom.

Cell: 5.1163 5.1163 4.0425 Å, 90.00 90.00 90.00°
Fractional positions:
In (0.0000, 0.0000, 0.0000)
Tc (0.5000, 0.5000, 0.5000)
P (0.0000, 0.5000, 0.0000)
P (0.5000, 0.0000, 0.0000)
O (0.0000, 0.0000, 0.5000)


Record 2
Density functional theory data (PBE-GGA) for a geometry-optimized InTeP2O structure.

Values from the calculation:
The value obtained for the polymorph energy (0 for the lowest one) is 136 meV per atom. Its formation energy from raw total energies is 2.5 eV/f.u. The value obtained for the mass density is 4.901 Mg/m³. Its total energy is -3.833 eV/atom.

Cell: 5.1953 5.1953 4.0215 Å, 90.00 90.00 90.00°
Fractional positions:
In (0.0000, 0.0000, 0.0000)
Te (0.5000, 0.5000, 0.5000)
P (0.0000, 0.5000, 0.0000)
P (0.5000, 0.0000, 0.0000)
O (0.0000, 0.0000, 0.5000)


Record 3
Density functional theory data (PBE-GGA) for a geometry-optimized InTeP2O structure.

Values from the calculation:
The value obtained for the polymorph energy (0 for the lowest one) is 0 meV per atom. Its formation energy from raw total energies is 1.8 eV/f.u. The value obtained for the mass density is 4.975 Mg/m³. Its total energy is -3.969 eV/atom.

Cell: 5.1825 5.1825 3.9811 Å, 90.00 90.00 90.00°
Fractional positions:
In (0.0000, 0.0000, 0.0000)
Te (0.5000, 0.5000, 0.5000)
P (0.0000, 0.5000, 0.5000)
P (0.5000, 0.0000, 0.5000)
O (0.5000, 0.5000, 0.0000)


Record 4
Density functional theory data (PBE-GGA) for a geometry-optimized TiInP2O structure.

Values from the calculation:
The value obtained for the polymorph energy (0 for the lowest one) is 0 meV per atom. Its formation energy from raw total energies is -3.0 eV/f.u. The value obtained for the mass density is 4.356 Mg/m³. Its total energy is -5.880 eV/atom.

Cell: 4.9676 4.9676 3.7170 Å, 90.00 90.00 90.00°
Fractional positions:
Ti (0.0000, 0.0000, 0.0000)
In (0.5000, 0.5000, 0.5000)
P (0.0000, 0.5000, 0.0000)
P (0.5000, 0.0000, 0.0000)
O (0.0000, 0.0000, 0.5000)


Record 5
Density functional theory data (PBE-GGA) for a geometry-optimized TiInPO2 structure.

Values from the calculation:
The value obtained for the polymorph energy (0 for the lowest one) is 0 meV per atom. Its formation energy from raw total energies is -7.2 eV/f.u. The value obtained for the mass density is 4.845 Mg/m³. Its total energy is -6.639 eV/atom.

Cell: 3.8211 3.8211 5.2972 Å, 90.00 90.00 90.00°
Fractional positions:
Ti (0.0000, 0.0000, 0.0000)
In (0.5000, 0.5000, 0.5000)
P (0.0000, 0.0000, 0.5000)
O (0.0000, 0.5000, 0.0000)
O (0.5000, 0.0000, 0.0000)


Record 6
Density functional theory data (PBE-GGA) for a geometry-optimized TiInP2O structure.

Values from the calculation:
The value obtained for the polymorph energy (0 for the lowest one) is 1135 meV per atom. Its formation energy from raw total energies is 2.7 eV/f.u. The value obtained for the mass density is 4.111 Mg/m³. Its total energy is -4.745 eV/atom.

Cell: 4.9433 4.9433 3.9776 Å, 90.00 90.00 90.00°
Fractional positions:
Ti (0.0000, 0.0000, 0.0000)
In (0.5000, 0.5000, 0.5000)
P (0.0000, 0.5000, 0.5000)
P (0.5000, 0.0000, 0.5000)
O (0.5000, 0.5000, 0.0000)


Record 7
Density functional theory data (PBE-GGA) for a geometry-optimized TiInPO2 structure.

Values from the calculation:
The value obtained for the polymorph energy (0 for the lowest one) is 1252 meV per atom. Its formation energy from raw total energies is -1.0 eV/f.u. The value obtained for the mass density is 4.389 Mg/m³. Its total energy is -5.387 eV/atom.

Cell: 3.9751 3.9751 5.4035 Å, 90.00 90.00 90.00°
Fractional positions:
Ti (0.0000, 0.0000, 0.0000)
In (0.5000, 0.5000, 0.5000)
P (0.5000, 0.5000, 0.0000)
O (0.0000, 0.5000, 0.5000)
O (0.5000, 0.0000, 0.5000)


Record 8
Density functional theory data (PBE-GGA) for a geometry-optimized Tl3InP2O8 structure.

Values from the calculation:
Its formation energy from raw total energies is -23.9 eV/f.u. The value obtained for the mass density is 6.725 Mg/m³. Its total energy is -6.013 eV/atom.

Cell: 5.5464 5.5464 8.5069 Å, 90.00 90.00 120.00°
Fractional positions:
Tl (0.0000, 0.0000, 0.0000)
Tl (0.3333, 0.6667, 0.7878)
Tl (0.6667, 0.3333, 0.2122)
In (0.0000, 0.0000, 0.5000)
P (0.3333, 0.6667, 0.2886)
P (0.6667, 0.3333, 0.7114)
O (0.1793, 0.3585, 0.3459)
O (0.1793, 0.8207, 0.3459)
O (0.3333, 0.6667, 0.1070)
O (0.3585, 0.1793, 0.6541)
O (0.6415, 0.8207, 0.3459)
O (0.6667, 0.3333, 0.8930)
O (0.8207, 0.1793, 0.6541)
O (0.8207, 0.6415, 0.6541)


Record 9
Density functional theory data (PBE-GGA) for a geometry-optimized TlInPO2 structure.

Values from the calculation:
The value obtained for the polymorph energy (0 for the lowest one) is 0 meV per atom. Its formation energy from raw total energies is -0.5 eV/f.u. The value obtained for the mass density is 6.630 Mg/m³. Its total energy is -4.192 eV/atom.

Cell: 4.1341 4.1341 5.6010 Å, 90.00 90.00 90.00°
Fractional positions:
Tl (0.0000, 0.0000, 0.0000)
In (0.5000, 0.5000, 0.5000)
P (0.5000, 0.5000, 0.0000)
O (0.0000, 0.5000, 0.5000)
O (0.5000, 0.0000, 0.5000)


Record 10
Density functional theory data (PBE-GGA) for a geometry-optimized TlInPO2 structure.

Values from the calculation:
The value obtained for the polymorph energy (0 for the lowest one) is 379 meV per atom. Its formation energy from raw total energies is 1.4 eV/f.u. The value obtained for the mass density is 6.672 Mg/m³. Its total energy is -3.813 eV/atom.

Cell: 4.1646 4.1646 5.4841 Å, 90.00 90.00 90.00°
Fractional positions:
Tl (0.0000, 0.0000, 0.0000)
In (0.5000, 0.5000, 0.5000)
P (0.0000, 0.0000, 0.5000)
O (0.0000, 0.5000, 0.0000)
O (0.5000, 0.0000, 0.0000)